80
Lattice="15.320 0.000 0.000 -5.107 14.444 0.000 -5.107 -7.222 12.509" Properties=species:S:1:pos:R:3 comment="Pr5Cd12Hg3 (PBE-GGA, optimized geometry)" space_group="No. 230" mass_density_g_cm3=6.372 formation_energy_ev_per_fu=5.18 final_energy_ev_per_atom=-1.530 pbc="T T T"
Cd -4.403 11.968 1.789
Cd 5.635 6.663 9.470
Cd 2.713 9.101 0.754
Cd 10.198 -3.773 8.044
Cd 10.917 3.300 3.215
Cd 4.579 -1.259 4.251
Cd 5.810 -0.823 7.505
Cd -2.394 -0.286 10.505
Cd 2.394 -1.879 11.755
Cd -0.703 8.045 5.004
Cd 8.188 -0.559 3.039
Cd 7.644 3.449 4.465
Cd 10.229 1.468 1.035
Cd -2.538 3.773 8.044
Cd 5.266 -1.592 11.259
Cd -5.810 3.922 9.294
Cd 2.569 9.202 5.501
Cd 0.528 8.481 8.258
Cd 2.394 1.592 11.259
Cd 3.081 1.259 4.251
Cd 3.257 6.399 5.004
Cd -2.026 -0.699 5.219
Cd -2.538 -5.754 11.474
Cd -1.850 -3.922 9.294
Cd -3.081 7.781 9.470
Cd 7.500 7.508 2.004
Cd -0.160 5.343 0.754
Cd -0.160 8.814 1.250
Cd 5.266 1.879 11.755
Cd 6.957 2.476 1.789
Cd 9.686 0.699 5.219
Cd -1.850 4.746 10.720
Cd 6.957 11.144 3.215
Cd 10.373 6.936 2.004
Cd 1.850 0.823 7.505
Cd 2.538 -1.980 7.008
Cd 2.026 5.963 8.258
Cd 7.132 7.921 7.290
Cd 9.510 -4.746 10.720
Cd -5.266 0.286 10.505
Cd 2.713 5.630 1.250
Cd -0.528 0.559 3.039
Cd 5.123 1.980 7.008
Cd -5.091 10.995 4.465
Cd -4.579 6.523 7.290
Cd -0.016 5.242 5.501
Cd -5.123 5.754 11.474
Cd 7.644 12.976 1.035
Hg -3.830 2.708 10.945
Hg 8.937 4.514 1.564
Hg -1.277 6.319 7.818
Hg 1.277 7.222 3.127
Hg 11.490 0.000 3.127
Hg -6.383 7.222 9.382
Hg 8.937 9.930 1.564
Hg 3.830 8.125 7.818
Hg 6.383 0.903 4.691
Hg -3.830 -2.708 10.945
Hg 3.830 0.000 9.382
Hg 1.277 -0.903 4.691
Pr 2.553 3.611 6.254
Pr 3.830 2.708 1.564
Pr 5.107 -3.611 6.254
Pr -3.830 8.125 4.691
Pr -2.553 -3.611 6.254
Pr 1.277 4.514 10.945
Pr 7.660 0.000 0.000
Pr -2.553 7.222 0.000
Pr 3.830 10.833 3.127
Pr 6.383 3.611 9.382
Pr -1.277 11.736 1.564
Pr 6.383 -4.514 10.945
Pr 1.277 -3.611 9.382
Pr 5.107 7.222 0.000
Pr -1.277 3.611 3.127
Pr 8.937 -0.903 7.818
Pr -5.107 3.611 6.254
Pr 6.383 6.319 4.691
Pr -1.277 0.903 7.818
Pr 0.000 0.000 0.000

---

4
Lattice="-3.479 -0.951 -0.428 -1.188 -3.176 1.301 -3.162 1.738 6.425" Properties=species:S:1:pos:R:3 comment="Sc2GaP (PBE-GGA, optimized geometry)" e_above_lowest_polymorph_ev_per_atom=0.0889 space_group="No. 166" mass_density_g_cm3=3.921 formation_energy_ev_per_fu=-3.82 final_energy_ev_per_atom=-6.230 pbc="T T T"
Sc -5.928 -1.682 5.690
Sc -1.901 -0.707 1.609
Ga -3.914 -1.195 3.649
P 0.000 0.000 0.000

---

5
Lattice="5.230 0.000 0.000 0.000 5.230 0.000 0.000 0.000 5.230" Properties=species:S:1:pos:R:3 comment="RbHf3Pt (PBE-GGA, optimized geometry)" e_above_lowest_polymorph_ev_per_atom=0.0000 space_group="No. 221" mass_density_g_cm3=9.470 formation_energy_ev_per_fu=2.58 final_energy_ev_per_atom=-6.858 pbc="T T T"
Hf 0.000 2.615 0.000
Hf 2.615 0.000 0.000
Hf 0.000 0.000 2.615
Rb 2.615 2.615 2.615
Pt 0.000 0.000 0.000

---

5
Lattice="-0.626 -0.181 -3.758 -0.016 -3.810 0.186 -6.358 -1.921 -0.785" Properties=species:S:1:pos:R:3 comment="NaFe2Se2 (PBE-GGA, optimized geometry)" space_group="No. 139" mass_density_g_cm3=5.457 formation_energy_uncorrected_ev_per_atom=-0.37 final_energy_ev_per_atom=-5.414 pbc="T T T"
Fe -3.347 -3.863 -1.193
Fe -3.652 -2.048 -3.165
Se -4.954 -3.937 -2.857
Se -2.046 -1.974 -1.500
Na 0.000 0.000 0.000

---

10
Lattice="3.541 0.000 0.000 0.000 3.541 0.000 0.000 0.000 17.490" Properties=species:S:1:pos:R:3 comment="Tm5Zn4Au (PBE-GGA, optimized geometry)" space_group="No. 123" mass_density_g_cm3=9.867 formation_energy_ev_per_fu=-4.63 final_energy_ev_per_atom=-3.537 pbc="T T T"
Tm 1.771 1.771 8.745
Tm 1.771 1.771 15.730
Tm 1.771 1.771 5.248
Tm 1.771 1.771 1.760
Tm 1.771 1.771 12.243
Au 0.000 0.000 0.000
Zn 0.000 0.000 13.938
Zn 0.000 0.000 10.494
Zn 0.000 0.000 6.996
Zn 0.000 0.000 3.553

---

12
Lattice="0.325 0.723 -4.626 -0.538 -6.581 -1.066 -6.875 3.564 2.454" Properties=species:S:1:pos:R:3 comment="Mg5ScAu6 (PBE-GGA, optimized geometry)" space_group="No. 71" mass_density_g_cm3=10.159 formation_energy_ev_per_fu=-7.72 final_energy_ev_per_atom=-3.474 pbc="T T T"
Au 0.028 -1.282 -2.579
Au -0.241 -4.577 -3.113
Au -2.460 -1.449 -0.400
Au -2.727 -4.710 -0.928
Au -4.627 -0.846 -2.839
Au -4.360 2.415 -2.310
Mg -2.164 0.573 -2.444
Mg -4.923 -2.868 -0.795
Mg -4.650 0.423 -0.261
Mg -2.437 -2.717 -2.977
Mg -0.269 -3.291 -0.533
Sc 0.000 0.000 0.000

---

5
Lattice="5.632 0.000 0.000 0.000 5.632 0.000 0.000 0.000 3.734" Properties=species:S:1:pos:R:3 comment="Sr2NiTeC (PBE-GGA, optimized geometry)" space_group="No. 123" mass_density_g_cm3=5.237 formation_energy_uncorrected_ev_per_atom=-0.50 final_energy_ev_per_atom=-4.806 pbc="T T T"
C 0.000 0.000 0.000
Sr 0.000 2.816 0.000
Sr 2.816 0.000 0.000
Te 2.816 2.816 1.867
Ni 0.000 0.000 1.867

---

6
Lattice="-1.670 -2.607 -2.477 1.685 -3.541 -0.582 -4.520 -5.259 5.407" Properties=species:S:1:pos:R:3 comment="PmGeO (PBE-GGA, optimized geometry)" e_above_lowest_polymorph_ev_per_atom=0.0000 space_group="No. 166" mass_density_g_cm3=6.713 formation_energy_uncorrected_ev_per_atom=-2.10 final_energy_ev_per_atom=-6.877 pbc="T T T"
Pm -3.731 -6.753 3.275
Pm -0.773 -4.654 -0.927
Ge -1.961 -7.550 -0.252
Ge -2.543 -3.857 2.600
O -4.045 -9.028 2.708
O -0.459 -2.379 -0.360

---

8
Lattice="7.950 0.000 0.000 0.000 7.950 0.000 3.975 3.975 5.623" Properties=species:S:1:pos:R:3 comment="BaLa2Fe (PBE-GGA, optimized geometry)" e_above_lowest_polymorph_ev_per_atom=0.0755 space_group="No. 227" mass_density_g_cm3=4.402 formation_energy_ev_per_fu=0.95 final_energy_ev_per_atom=-4.822 pbc="T T T"
La 5.962 7.945 4.217
La 3.980 1.987 1.406
La 9.937 7.954 4.217
La 3.970 5.962 1.406
Ba 0.000 0.000 0.000
Ba 7.950 3.975 2.811
Fe 3.975 3.975 0.000
Fe 3.975 7.950 2.811

---

15
Lattice="6.702 -0.085 -0.123 -3.223 8.576 1.138 -3.223 -1.910 8.438" Properties=species:S:1:pos:R:3 comment="Y8Er3Tm4 (PBE-GGA, optimized geometry)" e_above_lowest_polymorph_ev_per_atom=0.2454 space_group="No. 12" mass_density_g_cm3=6.357 formation_energy_ev_per_fu=6.20 final_energy_ev_per_atom=-5.139 pbc="T T T"
Er 0.128 3.290 4.726
Er 1.739 4.245 0.507
Er 1.739 -0.998 4.158
Tm -1.612 -0.955 4.219
Tm 3.351 -0.043 -0.061
Tm -1.612 4.288 0.569
Tm 0.000 0.000 0.000
Y -1.564 4.847 6.963
Y 0.128 0.661 6.557
Y 1.819 1.734 2.490
Y 1.927 4.815 6.917
Y -3.223 1.828 5.836
Y 0.128 5.920 2.896
Y -3.223 4.838 3.740
Y -1.671 1.765 2.536

---

4
Lattice="3.541 0.000 0.000 0.000 3.541 0.000 0.000 0.000 7.442" Properties=species:S:1:pos:R:3 comment="Pm2SiPt (PBE-GGA, optimized geometry)" space_group="No. 123" mass_density_g_cm3=9.134 formation_energy_uncorrected_ev_per_atom=-0.77 final_energy_ev_per_atom=-6.014 pbc="T T T"
Pm 0.000 0.000 1.831
Pm 0.000 0.000 5.611
Si 1.770 1.770 3.721
Pt 1.770 1.770 0.000

---

12
Lattice="5.541 -0.001 0.000 0.003 5.539 0.000 2.773 2.770 5.912" Properties=species:S:1:pos:R:3 comment="SrZnF4 (PBE-GGA, optimized geometry)" space_group="No. 88" mass_density_g_cm3=4.192 formation_energy_uncorrected_ev_per_atom=-3.13 final_energy_ev_per_atom=-4.875 pbc="T T T"
F 4.207 7.818 5.418
F 1.431 2.280 0.494
F 3.668 5.492 3.452
F 1.879 2.815 3.452
F 6.438 5.493 2.460
F 6.886 6.027 5.419
F 4.649 2.815 2.461
F 4.110 0.489 0.495
Zn 2.776 6.923 4.437
Zn 5.541 1.384 1.476
Sr 5.544 4.154 4.434
Sr 2.773 4.153 1.479

---

3
Lattice="3.833 0.000 0.000 0.000 4.659 0.000 0.000 -2.330 4.035" Properties=species:S:1:pos:R:3 comment="PrSnRu (PBE-GGA, optimized geometry)" space_group="No. 187" mass_density_g_cm3=8.311 formation_energy_ev_per_fu=-0.91 final_energy_ev_per_atom=-6.322 pbc="T T T"
Ru 0.637 2.330 1.345
Pr 2.557 0.000 2.690
Sn 0.640 0.000 0.000

---

5
Lattice="-5.582 -2.032 0.360 2.095 -5.374 2.153 -0.396 2.075 5.563" Properties=species:S:1:pos:R:3 comment="CsKSrSi2 (PBE-GGA, optimized geometry)" space_group="No. 123" mass_density_g_cm3=2.405 formation_energy_uncorrected_ev_per_atom=1.20 final_energy_ev_per_atom=-1.695 pbc="T T T"
K -1.941 -2.666 4.038
Cs 0.000 0.000 0.000
Si -0.198 1.037 2.782
Si -2.791 -1.016 0.180
Sr 1.048 -2.687 1.077

---

5
Lattice="4.565 0.000 0.000 0.000 4.565 0.000 0.000 0.000 4.565" Properties=species:S:1:pos:R:3 comment="GaCuS3 (PBE-GGA, optimized geometry)" e_above_lowest_polymorph_ev_per_atom=0.6281 space_group="No. 221" mass_density_g_cm3=4.006 formation_energy_uncorrected_ev_per_atom=0.45 final_energy_ev_per_atom=-3.446 pbc="T T T"
S 0.000 0.000 2.282
S 0.000 2.282 0.000
S 2.282 0.000 0.000
Ga 2.282 2.282 2.282
Cu 0.000 0.000 0.000

---

13
Lattice="-0.356 5.608 1.491 -5.274 3.652 -3.662 -5.121 1.317 5.157" Properties=species:S:1:pos:R:3 comment="AcSn6Pd6 (PBE-GGA, optimized geometry)" space_group="No. 71" mass_density_g_cm3=9.821 formation_energy_ev_per_fu=-7.36 final_energy_ev_per_atom=-5.126 pbc="T T T"
Sn -8.792 7.886 2.240
Sn -3.788 5.389 1.492
Sn -5.174 2.124 2.109
Sn -5.221 2.845 -0.613
Sn -6.963 5.188 1.494
Sn -1.959 2.691 0.746
Pd -2.637 1.826 -1.831
Pd -2.815 4.630 -1.085
Pd -5.414 5.881 -0.747
Pd -2.561 0.659 2.579
Pd -2.739 3.463 3.324
Pd -5.337 4.696 3.733
Ac 0.000 0.000 0.000

---

5
Lattice="4.764 0.000 0.000 0.000 5.500 0.000 0.000 0.000 4.764" Properties=species:S:1:pos:R:3 comment="SrSc2PdCl (PBE-GGA, optimized geometry)" space_group="No. 123" mass_density_g_cm3=4.249 formation_energy_uncorrected_ev_per_atom=-0.29 final_energy_ev_per_atom=-4.569 pbc="T T T"
Cl 0.000 0.000 0.000
Pd 2.382 2.750 2.382
Sc 0.000 0.000 2.382
Sc 2.382 0.000 0.000
Sr 0.000 2.750 0.000

---

11
Lattice="4.732 -0.377 -0.492 -1.264 6.178 0.586 -1.264 -1.036 6.118" Properties=species:S:1:pos:R:3 comment="Li7Zn2Cu2 (PBE-GGA, optimized geometry)" space_group="No. 12" mass_density_g_cm3=2.915 formation_energy_ev_per_fu=-0.18 final_energy_ev_per_atom=-2.210 pbc="T T T"
Li -0.817 1.560 5.841
Li 3.022 3.204 0.371
Li 0.000 0.000 0.000
Li -0.041 2.009 2.619
Li 3.022 -0.473 3.191
Li 2.246 2.755 3.593
Li -0.817 5.237 3.022
Cu 2.197 0.933 1.216
Cu 0.008 3.831 4.996
Zn 1.102 0.118 4.843
Zn 1.102 4.646 1.370

---

6
Lattice="-1.652 0.299 3.989 -3.038 -2.632 -1.061 6.806 -8.294 1.089" Properties=species:S:1:pos:R:3 comment="NaSrBe (PBE-GGA, optimized geometry)" e_above_lowest_polymorph_ev_per_atom=0.0223 space_group="No. 11" mass_density_g_cm3=2.090 formation_energy_ev_per_fu=0.70 final_energy_ev_per_atom=-2.009 pbc="T T T"
Na -0.644 -1.303 1.005
Na 2.760 -9.324 3.012
Be 0.493 -6.235 1.840
Be 1.623 -4.392 2.177
Sr -1.537 -4.447 3.219
Sr 3.653 -6.180 0.798

---

3
Lattice="3.099 0.000 0.000 0.000 3.099 0.000 0.000 0.000 4.375" Properties=species:S:1:pos:R:3 comment="Be2Cl (PBE-GGA, optimized geometry)" e_above_lowest_polymorph_ev_per_atom=0.7761 space_group="No. 123" mass_density_g_cm3=2.113 formation_energy_uncorrected_ev_per_atom=0.44 final_energy_ev_per_atom=-2.656 pbc="T T T"
Be 0.000 1.550 2.187
Be 1.550 0.000 2.187
Cl 0.000 0.000 0.000